(1)
DFT (GGA-PBEsol) results for a relaxed structure of CaTc2Cl.

Cell and atoms, written as POSCAR:
```
CaTc2Cl
1.0
-2.7260 0.8092 -1.7576
-1.0615 -3.6023 0.0087
-1.2349 2.3313 6.1574
Tc Cl Ca
2 1 1
Cartesian
-1.1482 -0.6355 3.0831
-1.9805 1.5702 2.1999
-1.8937 -1.3965 -0.8744
0.0000 0.0000 0.0000
```

Calculated values
* E above lowest polymorph: 385 meV per atom
* symmetry: C2/m, No. 12
* total magnetic moment: 0.0 μB/f.u.
* D(E_F): 3.603 states/eV/f.u.
* E_form (uncorrected): 0.77 eV per formula unit


(2)
DFT (GGA-PBEsol) results for a relaxed structure of CaTc2Cl.

Cell and atoms, written as POSCAR:
```
CaTc2Cl
1.0
3.0660 0.0000 0.0000
0.0000 3.0660 0.0000
0.0000 0.0000 7.7039
Cl Ca Tc
1 1 2
Cartesian
1.5330 1.5330 5.6677
0.0000 0.0000 3.8784
1.5330 1.5330 1.6284
0.0000 0.0000 0.3814
```

Calculated values
* E above lowest polymorph: 0 meV per atom
* symmetry: P4mm, No. 99
* total magnetic moment: 0.0 μB/f.u.
* D(E_F): 2.682 states/eV/f.u.
* E_form (uncorrected): -0.77 eV per formula unit


(3)
DFT (GGA-PBEsol) results for a relaxed structure of CaTc2Cl.

Cell and atoms, written as POSCAR:
```
CaTc2Cl
1.0
-4.2015 1.3750 -0.9991
-2.1651 -1.7463 -3.5783
-3.5086 -2.8012 0.6198
Cl Ca Tc
1 1 2
Cartesian
-2.4688 -0.7931 -0.9894
-4.9377 -1.5863 -1.9788
0.0000 0.0000 0.0000
-7.4065 -2.3794 -2.9682
```

Calculated values
* E above lowest polymorph: 812 meV per atom
* symmetry: F-43m, No. 216
* total magnetic moment: 0.0 μB/f.u.
* D(E_F): 4.526 states/eV/f.u.
* E_form (uncorrected): 2.48 eV per formula unit


(4)
DFT (GGA-PBEsol) results for a relaxed structure of CaTe3Cl.

Cell and atoms, written as POSCAR:
```
CaTe3Cl
1.0
-0.0167 3.9806 3.5526
-1.6784 -3.3762 3.7750
5.0645 -1.1057 1.2628
Te Ca Cl
3 1 1
Cartesian
-0.8392 -1.6881 1.8875
-0.0084 1.9903 1.7763
2.5322 -0.5529 0.6314
1.6847 -0.2507 4.2952
0.0000 0.0000 0.0000
```

Calculated values
* symmetry: Pm-3m, No. 221
* total magnetic moment: 0.0 μB/f.u.
* D(E_F): 3.464 states/eV/f.u.
* E_form (uncorrected): -0.61 eV per formula unit


(5)
DFT (GGA-PBEsol) results for a relaxed structure of Ca3TeCl.

Cell and atoms, written as POSCAR:
```
Ca3TeCl
1.0
-0.1054 0.6932 -5.2383
-5.2354 -0.7228 0.0097
-0.7151 5.1893 0.7011
Te Ca Cl
1 3 1
Cartesian
-3.0280 2.5799 -2.2637
-0.3576 2.5946 0.3506
-0.0527 0.3466 -2.6192
-2.6177 -0.3614 0.0049
0.0000 0.0000 0.0000
```

Calculated values
* symmetry: Pm-3m, No. 221
* total magnetic moment: 2.3 μB/f.u.
* D(E_F): 5.696 states/eV/f.u.
* E_form (uncorrected): -3.84 eV per formula unit


(6)
DFT (GGA-PBEsol) results for a relaxed structure of CaYTeCl2.

Cell and atoms, written as POSCAR:
```
CaYTeCl2
1.0
4.8611 0.0000 0.0000
0.0000 4.8611 0.0000
0.0000 0.0000 8.0425
Cl Y Ca Te
2 1 1 1
Cartesian
2.4306 0.0000 0.0000
0.0000 2.4306 0.0000
0.0000 0.0000 4.0212
0.0000 0.0000 0.0000
2.4306 2.4306 4.0212
```

Calculated values
* symmetry: P4/mmm, No. 123
* total magnetic moment: 1.0 μB/f.u.
* D(E_F): 1.459 states/eV/f.u.
* E_form (uncorrected): -5.44 eV per formula unit